[1]
A relaxed KBeV crystal, computed with GGA-PBE.

Calculated values
SG ... No. 187
Size of the total moment ... 0.00 Bohr magnetons per cell
ΔE to the lowest computed polymorph ... 809 meV/atom
D(E_F) ... 0.75 states/eV per atom
Formation energy ... 122.9 kJ per mole of atoms
Uncorrected energy ... -3.37 eV per atom

Cell: 4.963 4.963 7.521 Å, 90.00 90.00 120.00°
Atoms (fractional coordinates):
K 0.000 0.000 0.000
K 0.000 0.000 0.500
Be 0.667 0.333 0.143
Be 0.667 0.333 0.857
V 0.333 0.667 0.123
V 0.333 0.667 0.877

=====

[2]
A relaxed KBeV crystal, computed with GGA-PBE.

Calculated values
SG ... No. 2
Size of the total moment ... 0.00 Bohr magnetons per cell
ΔE to the lowest computed polymorph ... 0 meV/atom
D(E_F) ... 0.83 states/eV per atom
Formation energy ... 44.8 kJ per mole of atoms
Uncorrected energy ... -4.18 eV per atom

Cell: 3.874 3.875 11.530 Å, 85.17 85.05 60.18°
Atoms (fractional coordinates):
K 0.222 0.216 0.176
K 0.778 0.784 0.824
Be 0.166 0.166 0.501
Be 0.834 0.834 0.499
V 0.485 0.486 0.587
V 0.515 0.514 0.413

=====

[3]
A relaxed KBe2V crystal, computed with GGA-PBE.

Calculated values
SG ... No. 122
Size of the total moment ... 13.61 Bohr magnetons per cell
ΔE to the lowest computed polymorph ... 17 meV/atom
D(E_F) ... 0.80 states/eV per atom
Formation energy ... 136.5 kJ per mole of atoms
Uncorrected energy ... -3.00 eV per atom

Cell: 7.372 7.372 6.423 Å, 90.00 90.00 90.00°
Atoms (fractional coordinates):
K 0.000 0.000 0.000
K 0.000 0.500 0.250
K 0.500 0.000 0.750
K 0.500 0.500 0.500
Be 0.174 0.250 0.625
Be 0.250 0.674 0.875
Be 0.250 0.826 0.375
Be 0.326 0.250 0.125
Be 0.674 0.750 0.125
Be 0.750 0.174 0.375
Be 0.750 0.326 0.875
Be 0.826 0.750 0.625
V 0.000 0.000 0.500
V 0.000 0.500 0.750
V 0.500 0.000 0.250
V 0.500 0.500 0.000